Compound: KCaCd
Source: Alexandria via LeMat-Bulk
Functional: PBE
Structure: optimized geometry

a b c (Å): 4.058 4.058 8.757
angles (deg): 90.00 90.00 120.00
Positions (direct):
1 K 0.000 0.000 0.000
2 Ca 0.667 0.333 0.423
3 Cd 0.333 0.667 0.679

Final energy in eV per atom: -1.308
Space-group type: P3m1, No. 156
ΔH_f (0 K) in kJ/mol of atoms: 3
Calculated density in kg/m3: 2548